Here is an optimized crystal structure of GdLuInRu from Alexandria. Energies are from PBE-GGA.

Values from the calculation:
As for the calculated formation energy: -334 meV per atom. The space-group type is F-43m, No. 216.

Lattice parameters (Å, degrees): 5.0333 5.0333 5.0333 60.00 60.00 60.00
Site moments in Bohr magnetons follow the coordinates.
Positions (direct):
Ru1 0.7500 0.7500 0.7500  0.09
In1 0.2500 0.2500 0.2500  0.00
Gd1 0.0000 0.0000 0.0000  -7.03
Lu1 0.5000 0.5000 0.5000  -0.01


Here is an optimized crystal structure of Li3PrSb2 from Alexandria. Energies are from PBE-GGA.

Values from the calculation:
The energy above the most stable polymorph in this dataset is 0.66 eV/f.u. The space-group type is C2/m, No. 12. Its formation energy (no corrections) is -735 meV/atom.

Lattice parameters (Å, degrees): 4.4665 8.5272 8.2555 114.49 90.00 105.18
Positions (direct):
Pr1 0.1335 0.2670 0.0477
Pr2 0.8665 0.7330 0.9523
Li1 0.6016 0.2031 0.6724
Li2 0.9423 0.8847 0.5948
Li3 0.3034 0.6069 0.5153
Li4 0.0577 0.1153 0.4052
Li5 0.3984 0.7969 0.3276
Li6 0.6966 0.3931 0.4847
Sb1 0.4739 0.9478 0.7903
Sb2 0.5261 0.0522 0.2097
Sb3 0.7900 0.5799 0.2679
Sb4 0.2100 0.4201 0.7321


Here is an optimized crystal structure of LaEu2SbO6 from Alexandria. Energies are from PBE-GGA.

Values from the calculation:
The space-group type is Fm-3m, No. 225. Its formation energy (no corrections) is -2465 meV/atom.

Lattice parameters (Å, degrees): 6.0975 6.0975 6.0975 60.00 60.00 60.00
Site moments in Bohr magnetons follow the coordinates.
Positions (direct):
O1 0.7314 0.7314 0.2686  0.01
O2 0.2686 0.7314 0.2686  0.02
O3 0.2686 0.7314 0.7314  0.02
O4 0.7314 0.2686 0.2686  0.02
O5 0.7314 0.2686 0.7314  0.02
O6 0.2686 0.2686 0.7314  0.01
La1 0.0000 0.0000 0.0000  -0.01
Sb1 0.5000 0.5000 0.5000  0.00
Eu1 0.2500 0.2500 0.2500  -6.90
Eu2 0.7500 0.7500 0.7500  -6.90


Here is an optimized crystal structure of Tm2Sc3P2 from Alexandria. Energies are from PBE-GGA.

Values from the calculation:
As for the calculated formation energy: -894 meV per atom. The space-group type is C2/m, No. 12.

Lattice parameters (Å, degrees): 3.7629 5.8169 7.8329 100.02 103.90 108.87
Positions (direct):
P1 0.0702 0.9143 0.2260
P2 0.9298 0.0857 0.7740
Sc1 0.1833 0.8062 0.5605
Sc2 0.5000 0.0000 0.0000
Sc3 0.8167 0.1938 0.4395
Tm1 0.3541 0.5102 0.1980
Tm2 0.6459 0.4898 0.8020


Here is an optimized crystal structure of CaAcHg from Alexandria. Energies are from PBE-GGA.

Values from the calculation:
As for the calculated formation energy: -222 meV per atom. The energy above the most stable polymorph in this dataset is 0.30 eV/f.u. The space-group type is P3m1, No. 156.

Lattice parameters (Å, degrees): 4.0393 5.4444 5.4444 120.00 90.00 90.00
Positions (direct):
Hg1 0.4650 0.3333 0.6667
Ac1 0.0149 0.0000 0.0000
Ca1 0.5201 0.6667 0.3333


Here is an optimized crystal structure of Pm2Pr8Ho from Alexandria. Energies are from PBE-GGA.

Values from the calculation:
As for the calculated formation energy: 153 meV per atom. The energy above the most stable polymorph in this dataset is 0.51 eV/f.u. The space-group type is C2/m, No. 12.

Lattice parameters (Å, degrees): 6.8431 10.4116 10.4116 38.84 60.00 60.00
Positions (direct):
Pr1 0.8313 0.2435 0.2435
Pr2 0.2698 0.4064 0.4064
Pr3 0.7302 0.5936 0.5936
Pr4 0.7678 0.1770 0.6517
Pr5 0.2322 0.3483 0.8230
Pr6 0.1687 0.7565 0.7565
Pr7 0.2322 0.8230 0.3483
Pr8 0.7678 0.6517 0.1770
Ho1 0.0000 0.0000 0.0000
Pm1 0.4202 0.1937 0.1937
Pm2 0.5798 0.8063 0.8063


Here is an optimized crystal structure of Ti3GeSb from Alexandria. Energies are from PBE-GGA.

Values from the calculation:
The energy above the most stable polymorph in this dataset is 0.00 eV/f.u. The space-group type is C2/m, No. 12. Its formation energy (no corrections) is -343 meV/atom.

Lattice parameters (Å, degrees): 3.7490 6.5816 7.5865 87.81 104.31 90.00
Positions (direct):
Ti1 0.9917 0.7344 0.9834
Ti2 0.1970 0.6376 0.3939
Ti3 0.8030 0.3624 0.6061
Ti4 0.5972 0.9441 0.1945
Ti5 0.0083 0.2656 0.0166
Ti6 0.4028 0.0559 0.8055
Sb1 0.1973 0.1778 0.3947
Sb2 0.8027 0.8222 0.6053
Ge1 0.4096 0.4872 0.8193
Ge2 0.5904 0.5128 0.1807


Here is an optimized crystal structure of Al2CdBr from Alexandria. Energies are from PBE-GGA.

Values from the calculation:
The energy above the most stable polymorph in this dataset is 0.37 eV/f.u. The space-group type is Cmmm, No. 65. Its formation energy (no corrections) is 140 meV/atom.

Lattice parameters (Å, degrees): 3.2889 3.2891 9.5316 90.00 90.00 120.11
Positions (direct):
Br1 0.5000 0.5000 0.2500
Al1 0.0000 0.0000 0.0123
Al2 0.0000 0.0000 0.4877
Cd1 0.5000 0.5000 0.7500


Here is an optimized crystal structure of SmDy12Sc5 from Alexandria. Energies are from PBE-GGA.

Values from the calculation:
As for the calculated formation energy: 36 meV per atom. The space-group type is C2/m, No. 12.

Lattice parameters (Å, degrees): 6.0445 6.0436 16.9222 93.41 96.83 60.00
Positions (direct):
Dy1 0.2800 0.6643 0.8333
Dy2 0.4463 0.6669 0.3393
Dy3 0.7200 0.3357 0.1667
Dy4 0.6085 0.0000 0.8332
Dy5 0.1132 0.3331 0.3393
Dy6 0.2200 0.0000 0.6607
Dy7 0.0557 0.6643 0.1667
Dy8 0.8868 0.6669 0.6607
Dy9 0.7800 0.0000 0.3393
Dy10 0.9443 0.3357 0.8333
Dy11 0.5537 0.3331 0.6607
Dy12 0.3915 0.0000 0.1668
Sc1 0.6667 0.6667 0.0000
Sc2 0.1666 0.6668 0.5000
Sc3 0.5000 0.0000 0.5000
Sc4 0.3334 0.3333 0.0000
Sc5 0.8334 0.3333 0.5000
Sm1 0.0000 0.0000 0.0000


Here is an optimized crystal structure of LiPmEuGd from Alexandria. Energies are from PBE-GGA.

Values from the calculation:
As for the calculated formation energy: 209 meV per atom. The space-group type is F-43m, No. 216.

Lattice parameters (Å, degrees): 5.6787 5.6787 5.6787 60.00 60.00 60.00
Site moments in Bohr magnetons follow the coordinates.
Positions (direct):
Eu1 0.7500 0.7500 0.7500  6.82
Gd1 0.0000 0.0000 0.0000  -7.13
Li1 0.5000 0.5000 0.5000  0.01
Pm1 0.2500 0.2500 0.2500  -0.03


Here is an optimized crystal structure of MnZnCu2 from Alexandria. Energies are from PBE-GGA.

Values from the calculation:
As for the calculated formation energy: 34 meV per atom. The space-group type is I-4m2, No. 119.

Lattice parameters (Å, degrees): 4.4516 4.4516 4.4516 128.96 128.99 75.05
Site moments in Bohr magnetons follow the coordinates.
Positions (direct):
Zn1 0.2500 0.7500 0.5000  -0.04
Mn1 0.5000 0.5000 0.0000  3.43
Cu1 0.0000 0.0000 0.0000  0.05
Cu2 0.7500 0.2500 0.5000  0.07


Here is an optimized crystal structure of La3GeBi from Alexandria. Energies are from PBE-GGA.

Values from the calculation:
As for the calculated formation energy: -485 meV per atom. The energy above the most stable polymorph in this dataset is 1.50 eV/f.u. The space-group type is Pm-3m, No. 221.

Lattice parameters (Å, degrees): 5.7219 5.7219 5.7219 90.00 90.00 90.00
Positions (direct):
La1 0.5000 0.0000 0.0000
La2 0.0000 0.5000 0.0000
La3 0.0000 0.0000 0.5000
Ge1 0.0000 0.0000 0.0000
Bi1 0.5000 0.5000 0.5000


Here is an optimized crystal structure of Ba6SbTe3Br2 from Alexandria. Energies are from PBE-GGA.

Values from the calculation:
The space-group type is C2/m, No. 12. Its formation energy (no corrections) is -1684 meV/atom.

Lattice parameters (Å, degrees): 8.5662 8.5662 8.5668 99.55 99.55 119.97
Positions (direct):
Ba1 0.4079 0.0841 0.2516
Ba2 0.0841 0.4079 0.2516
Ba3 0.9159 0.5921 0.7484
Ba4 0.2390 0.2390 0.7466
Ba5 0.7610 0.7610 0.2534
Ba6 0.5921 0.9159 0.7484
Te1 0.8302 0.1698 0.5000
Te2 0.5000 0.5000 0.5000
Te3 0.1698 0.8302 0.5000
Sb1 0.0000 0.0000 0.0000
Br1 0.3341 0.6659 0.0000
Br2 0.6659 0.3341 0.0000


Here is an optimized crystal structure of CaHoTlRh from Alexandria. Energies are from PBE-GGA.

Values from the calculation:
As for the calculated formation energy: -395 meV per atom. The energy above the most stable polymorph in this dataset is 0.57 eV/f.u. The space-group type is F-43m, No. 216.

Lattice parameters (Å, degrees): 5.1068 5.1068 5.1068 60.00 60.00 60.00
Positions (direct):
Ca1 0.5000 0.5000 0.5000
Rh1 0.7500 0.7500 0.7500
Tl1 0.2500 0.2500 0.2500
Ho1 0.0000 0.0000 0.0000


Here is an optimized crystal structure of TiNi9Sn2 from Alexandria. Energies are from PBE-GGA.

Values from the calculation:
As for the calculated formation energy: -285 meV per atom. The space-group type is P4/mmm, No. 123.

Lattice parameters (Å, degrees): 3.7024 3.7024 11.0105 90.00 90.00 90.00
Positions (direct):
Ni1 0.5000 0.0000 0.1574
Ni2 0.5000 0.5000 0.3308
Ni3 0.5000 0.0000 0.5000
Ni4 0.0000 0.5000 0.1574
Ni5 0.0000 0.5000 0.5000
Ni6 0.5000 0.5000 0.6692
Ni7 0.5000 0.5000 0.0000
Ni8 0.0000 0.5000 0.8426
Ni9 0.5000 0.0000 0.8426
Sn1 0.0000 0.0000 0.3291
Sn2 0.0000 0.0000 0.6709
Ti1 0.0000 0.0000 0.0000


Here is an optimized crystal structure of LiCuPO4 from Alexandria. Energies are from PBE-GGA.

Values from the calculation:
The energy above the most stable polymorph in this dataset is 0.48 eV/f.u. The space-group type is Pbcn, No. 60. Its formation energy (no corrections) is -1738 meV/atom.

Lattice parameters (Å, degrees): 4.2836 4.4113 16.1838 90.00 90.00 90.00
Site moments in Bohr magnetons follow the coordinates.
Positions (direct):
P1 0.5000 0.7500 0.1194  0.00
P2 0.0000 0.2500 0.3806  0.00
P3 0.0000 0.7500 0.6194  0.00
P4 0.5000 0.2500 0.8806  0.00
O1 0.7161 0.9442 0.0648  0.09
O2 0.2839 0.0558 0.9352  0.09
O3 0.2036 0.9616 0.6761  0.07
O4 0.2839 0.5558 0.0648  0.09
O5 0.7036 0.5384 0.1761  0.07
O6 0.2964 0.9616 0.1761  0.07
O7 0.2161 0.5558 0.5648  0.09
O8 0.7839 0.4442 0.4352  0.09
O9 0.7839 0.9442 0.5648  0.09
O10 0.7964 0.0384 0.3239  0.07
O11 0.7036 0.0384 0.8239  0.07
O12 0.7964 0.5384 0.6761  0.07
O13 0.7161 0.4442 0.9352  0.09
O14 0.2161 0.0558 0.4352  0.09
O15 0.2964 0.4616 0.8239  0.07
O16 0.2036 0.4616 0.3239  0.07
Cu1 0.0000 0.2500 0.0917  0.60
Cu2 0.5000 0.7500 0.4083  0.60
Cu3 0.5000 0.2500 0.5917  0.60
Cu4 0.0000 0.7500 0.9083  0.60
Li1 0.5000 0.7500 0.7496  0.00
Li2 0.0000 0.7500 0.2496  0.00
Li3 0.0000 0.2500 0.7504  0.00
Li4 0.5000 0.2500 0.2504  0.00


Here is an optimized crystal structure of LaZrTa2 from Alexandria. Energies are from PBE-GGA.

Values from the calculation:
As for the calculated formation energy: 547 meV per atom. The energy above the most stable polymorph in this dataset is 1.36 eV/f.u. The space-group type is Fm-3m, No. 225.

Lattice parameters (Å, degrees): 5.0111 5.0111 5.0111 60.00 60.00 60.00
Positions (direct):
Ta1 0.7500 0.7500 0.7500
Ta2 0.2500 0.2500 0.2500
La1 0.5000 0.5000 0.5000
Zr1 0.0000 0.0000 0.0000


Here is an optimized crystal structure of Si2RhSe from Alexandria. Energies are from PBE-GGA.

Values from the calculation:
The space-group type is I-42d, No. 122. Its formation energy (no corrections) is -96 meV/atom.

Lattice parameters (Å, degrees): 5.6384 5.6384 6.6686 64.99 64.99 90.00
Positions (direct):
Rh1 0.7500 0.2500 0.5000
Rh2 0.0000 0.0000 0.0000
Si1 0.0863 0.6250 0.2500
Si2 0.3750 0.3363 0.7500
Si3 0.8750 0.9137 0.7500
Si4 0.6637 0.1250 0.2500
Se1 0.2500 0.7500 0.5000
Se2 0.5000 0.5000 0.0000


Here is an optimized crystal structure of Pm2Mg3Ag4 from Alexandria. Energies are from PBE-GGA.

Values from the calculation:
As for the calculated formation energy: -216 meV per atom. The energy above the most stable polymorph in this dataset is 0.17 eV/f.u. The space-group type is Cmce, No. 64.

Lattice parameters (Å, degrees): 6.0934 7.9945 8.9544 90.00 109.89 90.00
Positions (direct):
Mg1 0.0199 0.7500 0.5398
Mg2 0.4801 0.2500 0.4602
Mg3 0.5199 0.7500 0.5398
Mg4 0.9801 0.2500 0.4602
Mg5 0.0000 0.0000 0.0000
Mg6 0.5000 0.5000 0.0000
Ag1 0.8129 0.2500 0.1257
Ag2 0.6715 0.5256 0.3430
Ag3 0.1715 0.9744 0.3430
Ag4 0.6871 0.7500 0.8743
Ag5 0.1871 0.7500 0.8743
Ag6 0.8285 0.0256 0.6570
Ag7 0.3285 0.4744 0.6570
Ag8 0.3129 0.2500 0.1257
Pm1 0.1031 0.5951 0.2063
Pm2 0.6031 0.9049 0.2063
Pm3 0.8969 0.4049 0.7937
Pm4 0.3969 0.0951 0.7937


Here is an optimized crystal structure of CaIn2F from Alexandria. Energies are from PBE-GGA.

Values from the calculation:
The energy above the most stable polymorph in this dataset is 0.00 eV/f.u. The space-group type is I-42d, No. 122. Its formation energy (no corrections) is -760 meV/atom.

Lattice parameters (Å, degrees): 5.0557 5.0557 9.5770 74.70 74.70 90.00
Positions (direct):
In1 0.5049 0.1250 0.2500
In2 0.2451 0.6250 0.2500
In3 0.8750 0.7549 0.7500
In4 0.3750 0.4951 0.7500
F1 0.5000 0.5000 0.0000
F2 0.2500 0.7500 0.5000
Ca1 0.7500 0.2500 0.5000
Ca2 0.0000 0.0000 0.0000